1.
20
Lattice="7.935 -10.064 0.000 7.935 10.064 0.000 0.000 0.000 6.051" Properties=species:S:1:pos:R:3 comment="PBE-GGA Cs3HgBr6, optimized geometry" raw_formation_energy_ev_per_atom=-1.206 pbc="T T T"
Cs 7.935 7.717 3.025
Cs 5.040 2.421 2.873
Cs 5.040 -2.421 5.899
Cs 10.830 2.421 2.873
Cs 10.830 -2.421 5.899
Cs 7.935 -7.717 0.000
Hg 7.935 4.157 5.444
Hg 7.935 -4.157 2.419
Br 5.643 5.472 4.992
Br 2.581 0.021 4.459
Br 2.581 -0.021 1.434
Br 7.935 4.286 2.121
Br 10.226 5.472 4.992
Br 7.935 1.520 5.098
Br 7.935 -1.520 2.072
Br 5.643 -5.472 1.967
Br 7.935 -4.286 5.147
Br 13.289 0.021 4.459
Br 13.289 -0.021 1.434
Br 10.226 -5.472 1.967

=====

2.
4
Lattice="2.101 1.213 7.244 -2.101 1.213 7.244 0.000 -2.426 7.244" Properties=species:S:1:pos:R:3 comment="PBE-GGA BaFeSb2, optimized geometry" raw_formation_energy_ev_per_atom=-0.270 pbc="T T T"
Ba 0.000 0.000 0.000
Fe 0.000 0.000 17.935
Sb 0.000 0.000 4.648
Sb 0.000 0.000 9.663

=====

3.
20
Lattice="5.055 -6.245 0.000 5.055 6.245 0.000 0.000 0.000 6.271" Properties=species:S:1:pos:R:3 comment="PBE-GGA Ga3GeAu6, optimized geometry" formation_energy_kj_per_mol_atoms=-8.5 pbc="T T T"
Ga 5.055 4.634 3.136
Ga 3.128 1.074 4.153
Ga 3.128 -1.074 1.017
Ga 6.982 1.074 4.153
Ga 6.982 -1.074 1.017
Ga 5.055 -4.634 0.000
Ge 5.055 2.184 1.488
Ge 5.055 -2.184 4.623
Au 2.829 3.086 2.383
Au 1.413 0.490 2.236
Au 1.413 -0.490 5.372
Au 5.055 3.055 5.271
Au 7.281 3.086 2.383
Au 5.055 0.182 5.783
Au 5.055 -0.182 2.647
Au 2.829 -3.086 5.519
Au 5.055 -3.055 2.135
Au 8.697 0.490 2.236
Au 8.697 -0.490 5.372
Au 7.281 -3.086 5.519

=====

4.
6
Lattice="4.022 0.000 0.000 -2.011 3.483 0.000 0.000 0.000 9.301" Properties=species:S:1:pos:R:3 comment="PBE-GGA SrMnS, optimized geometry" polymorph_energy_mev_per_atom=0 raw_formation_energy_ev_per_atom=-0.868 pbc="T T T"
Sr 0.000 0.000 0.000
Sr 0.000 2.322 5.652
Mn 0.000 2.322 2.413
Mn 2.011 1.161 2.811
S 0.000 0.000 3.646
S 2.011 1.161 7.416

=====

5.
5
Lattice="4.504 0.000 0.000 0.000 4.504 0.000 0.000 0.000 4.504" Properties=species:S:1:pos:R:3 comment="PBE-GGA Zn3NiP, optimized geometry" polymorph_energy_mev_per_atom=0 formation_energy_kj_per_mol_atoms=49.5 pbc="T T T"
Zn 0.000 0.000 2.252
Zn 0.000 2.252 0.000
Zn 2.252 0.000 0.000
Ni 0.000 0.000 0.000
P 2.252 2.252 2.252

=====

6.
20
Lattice="3.585 2.070 12.247 -3.585 2.070 12.247 0.000 -4.139 12.247" Properties=species:S:1:pos:R:3 comment="PBE-GGA Sr2AlCd6Ag, optimized geometry" formation_energy_kj_per_mol_atoms=-12.5 pbc="T T T"
Sr 0.000 0.000 4.115
Sr 0.000 0.000 10.454
Sr 0.000 0.000 26.286
Sr 0.000 0.000 32.626
Al 0.000 0.000 15.709
Al 0.000 0.000 21.031
Cd -2.132 -1.231 17.120
Cd 0.000 -1.775 13.573
Cd -1.537 0.887 13.573
Cd 0.000 -2.462 19.620
Cd -2.132 1.231 19.620
Cd -1.537 -0.887 23.168
Cd 1.537 0.887 13.573
Cd 2.132 -1.231 17.120
Cd 0.000 2.462 17.120
Cd 1.537 -0.887 23.168
Cd 0.000 1.775 23.168
Cd 2.132 1.231 19.620
Ag 0.000 0.000 0.000
Ag 0.000 0.000 18.370

=====

7.
16
Lattice="7.397 -4.271 0.000 7.397 4.271 0.000 -4.932 0.000 7.784" Properties=species:S:1:pos:R:3 comment="PBE-GGA La8Os3SeBr4, optimized geometry" raw_formation_energy_ev_per_atom=-1.062 pbc="T T T"
La 3.626 2.274 5.423
La 0.007 0.000 5.467
La 6.237 2.274 2.361
La 2.306 0.000 2.368
La 7.557 0.000 5.417
La 3.626 -2.274 5.423
La 9.856 0.000 2.318
La 6.237 -2.274 2.361
Os -2.466 0.000 3.892
Os 1.233 2.135 3.892
Os 1.233 -2.135 3.892
Se 4.931 0.000 3.892
Br 0.000 0.000 0.000
Br 3.699 2.135 0.000
Br 3.699 -2.135 0.000
Br 7.397 0.000 0.000

=====

8.
29
Lattice="0.000 5.253 5.253 5.253 0.000 5.253 5.253 5.253 0.000" Properties=species:S:1:pos:R:3 comment="PBE-GGA HfCo22B6, optimized geometry" formation_energy_kj_per_mol_atoms=-16.1 pbc="T T T"
Hf 0.000 0.000 0.000
Co 1.814 1.814 0.000
Co 3.438 3.438 0.000
Co 1.814 0.000 1.814
Co 5.253 3.438 1.814
Co 3.438 0.000 3.438
Co 5.253 1.814 3.438
Co 6.501 4.004 4.004
Co 2.626 2.626 2.626
Co 0.000 1.814 1.814
Co 3.438 5.253 1.814
Co 3.438 1.814 5.253
Co 4.004 4.004 4.004
Co 6.501 6.501 4.004
Co 6.501 4.004 6.501
Co 4.004 6.501 4.004
Co 4.004 4.004 6.501
Co 6.501 6.501 6.501
Co 0.000 3.438 3.438
Co 1.814 5.253 3.438
Co 1.814 3.438 5.253
Co 7.879 7.879 7.879
Co 4.004 6.501 6.501
B 5.253 5.253 2.861
B 5.253 2.861 5.253
B 7.645 5.253 5.253
B 2.861 5.253 5.253
B 5.253 7.645 5.253
B 5.253 5.253 7.645

=====

no.,uncorrected energy (eV per atom)
1,-2.496
2,-4.928
3,-3.424
4,-5.861
5,-2.490
6,-1.675
7,-6.268
8,-7.282